A plane-wave DFT calculation with PBE was carried out for a geometry-optimized SmYSi2Os structure.

Cell and atoms, written as POSCAR:
```
SmYSi2Os
1.0
-5.603 1.728 0.175
-4.869 -1.385 2.965
6.850 5.817 4.687
Si Y Sm Os
4 2 2 2
Cartesian
-2.660 2.353 3.326
2.763 5.573 5.491
-0.962 3.807 4.502
-6.385 0.587 2.337
-5.889 2.554 4.401
2.267 3.607 3.428
1.109 1.056 0.886
-4.731 5.104 6.942
-1.987 0.831 1.451
-1.635 5.329 6.377
```

Energy relative to the lowest polymorph listed for this composition, eV per atom: 0.009
Total magnetization, μB per cell: 0.2
Density, kg/m³: 7896